Record 1
Material: SrAc2Sb3Pd6
Method: DFT, PBE
State: optimized geometry

Cell: 4.4187 4.4187 17.2827 Å, 90.00 90.00 90.00°
Positions (direct):
1 Sr 0.0000 0.0000 0.0000
2 Ac 0.0000 0.0000 0.3067
3 Ac 0.0000 0.0000 0.6933
4 Sb 0.5000 0.5000 0.2070
5 Sb 0.5000 0.5000 0.5000
6 Sb 0.5000 0.5000 0.7930
7 Pd 0.0000 0.5000 0.1297
8 Pd 0.0000 0.5000 0.8703
9 Pd 0.5000 0.0000 0.1297
10 Pd 0.5000 0.0000 0.8703
11 Pd 0.5000 0.5000 0.3560
12 Pd 0.5000 0.5000 0.6440

The value obtained for the electronic total energy is -59.66 eV per formula unit.

---

Record 2
Material: KBaSb
Method: DFT, PBE
State: optimized geometry

Cell: 6.0687 6.0687 7.4879 Å, 90.00 90.00 120.00°
Positions (direct):
1 K 0.0000 0.0000 0.0000
2 K 0.0000 0.0000 0.5000
3 Ba 0.3333 0.6667 0.2500
4 Ba 0.6667 0.3333 0.7500
5 Sb 0.3333 0.6667 0.7500
6 Sb 0.6667 0.3333 0.2500

The value obtained for the electronic total energy is -9.54 eV per formula unit.

---

Record 3
Material: PrDyThIn
Method: DFT, PBE
State: optimized geometry

Cell: 5.5335 5.5335 5.5335 Å, 60.00 60.00 60.00°
Positions (direct):
1 Pr 0.0000 0.0000 0.0000
2 Dy 0.5000 0.5000 0.5000
3 Th 0.2500 0.2500 0.2500
4 In 0.7500 0.7500 0.7500

The value obtained for the electronic total energy is -19.68 eV per formula unit.

---

Record 4
Material: TmCuRu
Method: DFT, PBE
State: optimized geometry

Cell: 4.2514 4.2514 3.4491 Å, 90.00 90.00 120.00°
Positions (direct):
1 Tm 0.0000 0.0000 0.0000
2 Cu 0.3333 0.6667 0.5000
3 Ru 0.6667 0.3333 0.5000

The value obtained for the electronic total energy is -18.29 eV per formula unit. The calculation puts the offset from the most stable computed form at 194 meV/atom.

---

Record 5
Material: Cs3Sm3NpS8
Method: DFT, PBE
State: optimized geometry

Cell: 9.5030 9.5030 9.5030 Å, 51.64 51.64 51.64°
Positions (direct):
1 Cs 0.0000 0.5000 0.5000
2 Cs 0.5000 0.0000 0.5000
3 Cs 0.5000 0.5000 0.0000
4 Sm 0.0000 0.0000 0.5000
5 Sm 0.0000 0.5000 0.0000
6 Sm 0.5000 0.0000 0.0000
7 Np 0.5000 0.5000 0.5000
8 S 0.2277 0.2277 0.2277
9 S 0.2375 0.7199 0.7199
10 S 0.2801 0.2801 0.7625
11 S 0.2801 0.7625 0.2801
12 S 0.7199 0.2375 0.7199
13 S 0.7199 0.7199 0.2375
14 S 0.7625 0.2801 0.2801
15 S 0.7723 0.7723 0.7723

The value obtained for the electronic total energy is -88.62 eV per formula unit.

---

Record 6
Material: CsSn2Pb6
Method: DFT, PBE
State: optimized geometry

Cell: 5.3118 5.3118 11.1791 Å, 90.00 90.00 90.00°
Positions (direct):
1 Cs 0.0000 0.0000 0.0000
2 Sn 0.5000 0.5000 0.1366
3 Sn 0.5000 0.5000 0.8634
4 Pb 0.0000 0.0000 0.5000
5 Pb 0.0000 0.5000 0.2957
6 Pb 0.0000 0.5000 0.7043
7 Pb 0.5000 0.0000 0.2957
8 Pb 0.5000 0.0000 0.7043
9 Pb 0.5000 0.5000 0.5000

The value obtained for the electronic total energy is -31.59 eV per formula unit.

---

Record 7
Material: Mg4Si7
Method: DFT, PBE
State: optimized geometry

Cell: 12.7882 12.7882 8.8604 Å, 96.02 96.02 16.17°
Positions (direct):
1 Mg 0.0000 0.0000 0.0000
2 Mg 0.0239 0.0239 0.5868
3 Mg 0.1201 0.1201 0.9687
4 Mg 0.1710 0.1710 0.4176
5 Mg 0.3286 0.3286 0.6429
6 Mg 0.4179 0.4179 0.1306
7 Mg 0.5696 0.5696 0.2940
8 Mg 0.7318 0.7318 0.9351
9 Si 0.1750 0.1750 0.7180
10 Si 0.2433 0.2433 0.2045
11 Si 0.3258 0.3258 0.9579
12 Si 0.4324 0.4324 0.4519
13 Si 0.4494 0.4494 0.7355
14 Si 0.5445 0.5445 0.8219
15 Si 0.6119 0.6119 0.6294
16 Si 0.6683 0.6683 0.1760
17 Si 0.7373 0.7373 0.6311
18 Si 0.7724 0.7724 0.3918
19 Si 0.8232 0.8232 0.1414
20 Si 0.8690 0.8690 0.4025
21 Si 0.8989 0.8989 0.8442
22 Si 0.9846 0.9846 0.2994

The value obtained for the electronic total energy is -42.61 eV per formula unit. The calculation puts the offset from the most stable computed form at 61 meV/atom.

---

Record 8
Material: Dy7HoHg4
Method: DFT, PBE
State: optimized geometry

Cell: 7.8277 7.8277 9.7458 Å, 119.84 119.84 42.51°
Positions (direct):
1 Dy 0.0000 0.0000 0.0000
2 Dy 0.2331 0.2331 0.6856
3 Dy 0.2917 0.2917 0.1148
4 Dy 0.4337 0.4337 0.5952
5 Dy 0.5663 0.5663 0.4048
6 Dy 0.7083 0.7083 0.8852
7 Dy 0.7669 0.7669 0.3144
8 Ho 0.5000 0.5000 0.0000
9 Hg 0.0470 0.0470 0.7262
10 Hg 0.1885 0.1885 0.3400
11 Hg 0.8115 0.8115 0.6600
12 Hg 0.9530 0.9530 0.2738

The value obtained for the electronic total energy is -39.20 eV per formula unit.

---

Record 9
Material: HgTeI
Method: DFT, PBE
State: optimized geometry

Cell: 5.5579 7.1550 7.1631 Å, 64.30 79.16 79.39°
Positions (direct):
1 Hg 0.0010 0.2369 0.2648
2 Hg 0.9990 0.7631 0.7352
3 Te 0.3962 0.9053 0.4038
4 Te 0.6038 0.0947 0.5962
5 I 0.1352 0.6543 0.1511
6 I 0.8648 0.3457 0.8489

The value obtained for the electronic total energy is -5.55 eV per formula unit. The calculation puts the offset from the most stable computed form at 18 meV/atom.

---

Record 10
Material: Er3PuSb2
Method: DFT, PBE
State: optimized geometry

Cell: 9.0063 9.0063 10.3979 Å, 113.21 113.21 26.67°
Positions (direct):
1 Er 0.0518 0.0518 0.1652
2 Er 0.3070 0.3070 0.6251
3 Er 0.3576 0.3576 0.0266
4 Er 0.6424 0.6424 0.9734
5 Er 0.6930 0.6930 0.3749
6 Er 0.9482 0.9482 0.8348
7 Pu 0.1059 0.1059 0.5925
8 Pu 0.8941 0.8941 0.4075
9 Sb 0.2474 0.2474 0.2032
10 Sb 0.4932 0.4932 0.6653
11 Sb 0.5068 0.5068 0.3347
12 Sb 0.7526 0.7526 0.7968

The value obtained for the electronic total energy is -39.51 eV per formula unit.

---

Record 11
Material: MnCu2PbAu
Method: DFT, PBE
State: optimized geometry

Cell: 4.6089 4.6089 5.0995 Å, 90.00 90.00 90.00°
Positions (direct):
1 Mn 0.0000 0.0000 0.0000
2 Cu 0.0000 0.5000 0.0000
3 Cu 0.5000 0.0000 0.0000
4 Pb 0.0000 0.0000 0.5000
5 Au 0.5000 0.5000 0.5000

The value obtained for the electronic total energy is -19.95 eV per formula unit.

---

Record 12
Material: Ti2HPtAu
Method: DFT, PBE
State: optimized geometry

Cell: 4.0788 4.0788 4.0126 Å, 90.00 90.00 90.00°
Positions (direct):
1 Ti 0.0000 0.5000 0.0000
2 Ti 0.5000 0.0000 0.0000
3 H 0.0000 0.0000 0.0000
4 Pt 0.0000 0.0000 0.5000
5 Au 0.5000 0.5000 0.5000

The value obtained for the electronic total energy is -30.91 eV per formula unit. The calculation puts the offset from the most stable computed form at 0 meV/atom.